DFT (PBE-GGA) results for a relaxed TlSnSbO6 crystal.

Cell and atoms, written as POSCAR:
```
TlSnSbO6
1.0
-4.222 1.257 2.172
0.048 -4.210 2.529
5.040 4.410 7.246
O Sb Sn Tl
12 2 2 2
direct
0.179 0.821 0.505 O
0.821 0.179 0.505 O
0.321 0.321 0.005 O
0.708 0.708 0.678 O
0.208 0.792 0.178 O
0.198 0.802 0.817 O
0.292 0.292 0.678 O
0.802 0.198 0.817 O
0.698 0.698 0.317 O
0.792 0.208 0.178 O
0.679 0.679 0.005 O
0.302 0.302 0.317 O
0.000 0.000 0.667 Sb
0.500 0.500 0.167 Sb
0.000 0.000 0.332 Sn
0.500 0.500 0.832 Sn
0.500 0.500 0.501 Tl
0.000 0.000 0.001 Tl
```

Computed properties:
Space-group type   P4_2nm
ΔE_f (raw)   -1090.7 kJ/mol of formula units
DOS(E_F)   2.0 states/eV/f.u.
Density   7.5 g/cm3


DFT (PBE-GGA) results for a relaxed SrCaLa crystal.

Cell and atoms, written as POSCAR:
```
SrCaLa
1.0
6.060 0.000 0.000
3.030 5.248 0.000
3.030 1.749 4.948
La Sr Ca
1 1 1
direct
0.000 0.000 0.000 La
0.500 0.500 0.500 Sr
0.750 0.750 0.750 Ca
```

Computed properties:
Space-group type   F-43m
DOS(E_F)   6.8 states/eV/f.u.
Density   2.8 g/cm3
Offset from the most stable computed form   0.6080 eV/atom


DFT (PBE-GGA) results for a relaxed Cs4Rb3LiI8 crystal.

Cell and atoms, written as POSCAR:
```
Cs4Rb3LiI8
1.0
10.572 0.000 0.000
0.000 10.582 0.007
-5.286 -5.276 7.621
Cs I Rb Li
4 8 3 1
direct
0.500 0.000 0.000 Cs
0.500 0.000 0.500 Cs
0.000 0.000 0.500 Cs
0.000 0.000 0.000 Cs
0.777 0.707 0.992 I
0.748 0.258 0.496 I
0.785 0.293 0.008 I
0.223 0.293 0.008 I
0.215 0.707 0.992 I
0.745 0.736 0.490 I
0.255 0.264 0.510 I
0.252 0.742 0.504 I
0.500 0.500 0.000 Rb
0.000 0.500 0.500 Rb
0.500 0.500 0.500 Rb
0.000 0.500 0.000 Li
```

Computed properties:
Space-group type   C2/m
ΔE_f (raw)   -2229.4 kJ/mol of formula units
DOS(E_F)   0.0 states/eV/f.u.
Density   3.5 g/cm3


DFT (PBE-GGA) results for a relaxed AlPdO2 crystal.

Cell and atoms, written as POSCAR:
```
AlPdO2
1.0
-0.007 4.629 -4.199
-1.263 -1.675 -1.844
-9.682 3.290 3.643
Al Pd O
4 4 8
direct
0.079 0.250 0.102 Al
0.579 0.250 0.398 Al
0.921 0.750 0.898 Al
0.421 0.750 0.602 Al
0.552 0.750 0.112 Pd
0.448 0.250 0.888 Pd
0.052 0.750 0.388 Pd
0.948 0.250 0.612 Pd
0.735 0.750 0.339 O
0.124 0.250 0.930 O
0.876 0.750 0.070 O
0.265 0.250 0.661 O
0.376 0.750 0.430 O
0.235 0.750 0.161 O
0.765 0.250 0.839 O
0.624 0.250 0.570 O
```

Computed properties:
Space-group type   Pnma
ΔE_f (raw)   -677.1 kJ/mol of formula units
DOS(E_F)   1.0 states/eV/f.u.
Density   5.8 g/cm3


DFT (PBE-GGA) results for a relaxed ErZrAgRh crystal.

Cell and atoms, written as POSCAR:
```
ErZrAgRh
1.0
-3.721 -2.496 -1.861
-2.343 -3.256 2.728
-4.522 0.903 1.507
Zr Rh Er Ag
1 1 1 1
direct
0.500 0.500 0.500 Zr
0.750 0.750 0.750 Rh
0.000 0.000 0.000 Er
0.250 0.250 0.250 Ag
```

Computed properties:
Raw total energy   -6.272 eV/atom
Space-group type   F-43m
DOS(E_F)   3.3 states/eV/f.u.
Density   9.7 g/cm3


DFT (PBE-GGA) results for a relaxed Zn2CdIn2Ag5 crystal.

Cell and atoms, written as POSCAR:
```
Zn2CdIn2Ag5
1.0
-2.620 -2.386 2.401
7.190 -5.845 2.037
2.143 5.280 7.585
Ag Zn Cd In
10 4 2 4
direct
0.500 0.500 0.000 Ag
0.500 0.000 0.500 Ag
0.500 0.079 0.799 Ag
0.500 0.421 0.299 Ag
0.500 0.579 0.701 Ag
0.500 0.799 0.921 Ag
0.500 0.921 0.201 Ag
0.500 0.299 0.579 Ag
0.500 0.201 0.079 Ag
0.500 0.701 0.421 Ag
0.000 0.379 0.121 Zn
0.000 0.121 0.621 Zn
0.000 0.879 0.379 Zn
0.000 0.621 0.879 Zn
0.000 0.500 0.500 Cd
0.000 0.000 0.000 Cd
0.000 0.674 0.174 In
0.000 0.326 0.826 In
0.000 0.826 0.674 In
0.000 0.174 0.326 In
```

Computed properties:
Raw total energy   -2.299 eV/atom
Space-group type   P4/mbm
DOS(E_F)   2.9 states/eV/f.u.
Density   8.7 g/cm3


DFT (PBE-GGA) results for a relaxed VCrTc2Pd crystal.

Cell and atoms, written as POSCAR:
```
VCrTc2Pd
1.0
-2.511 -3.543 0.785
3.291 -1.944 1.753
-1.114 1.661 3.934
Cr V Tc Pd
1 1 2 1
direct
0.000 0.500 0.000 Cr
0.000 0.000 0.000 V
0.500 0.000 0.000 Tc
0.000 0.000 0.500 Tc
0.500 0.500 0.500 Pd
```

Computed properties:
Raw total energy   -7.777 eV/atom
Space-group type   P4/mmm
DOS(E_F)   3.9 states/eV/f.u.
Density   8.2 g/cm3


DFT (PBE-GGA) results for a relaxed LuTaIrOs crystal.

Cell and atoms, written as POSCAR:
```
LuTaIrOs
1.0
4.612 0.000 0.000
2.306 3.994 0.000
2.306 1.331 3.766
Os Lu Ta Ir
1 1 1 1
direct
0.000 0.000 0.000 Os
0.750 0.750 0.750 Lu
0.250 0.250 0.250 Ta
0.500 0.500 0.500 Ir
```

Computed properties:
Raw total energy   -9.569 eV/atom
Space-group type   F-43m
DOS(E_F)   3.2 states/eV/f.u.
Density   17.7 g/cm3


- Which value of density does entry 1 give?
  7.5 g/cm3